Pm6NdSm2 | GGA-PBE | optimized geometry

Structure (extended XYZ):
```
9
Lattice="-5.995 1.691 -0.746 -0.827 -5.303 -5.391 -2.218 -7.027 1.887" Properties=species:S:1:pos:R:3 pbc="T T T"
Pm -3.868 -7.210 -0.705
Pm -4.225 -9.532 -3.067
Pm -3.258 -6.454 -3.896
Pm -5.171 -3.428 -3.545
Pm -4.814 -1.107 -1.183
Pm -5.782 -4.185 -0.354
Nd 0.000 0.000 0.000
Sm -6.744 -6.890 -2.922
Sm -2.295 -3.749 -1.327
```

M_tot	0.088	μB per atom
DFT formation energy	17.9	kJ per mole of atoms
E above lowest polymorph	1.56	eV/f.u.

---

CsGaFe3 | GGA-PBE | optimized geometry

Structure (extended XYZ):
```
5
Lattice="4.831 0.000 0.000 0.000 4.831 0.000 0.000 0.000 4.831" Properties=species:S:1:pos:R:3 pbc="T T T"
Cs 2.416 2.416 2.416
Fe 0.000 2.416 0.000
Fe 0.000 0.000 2.416
Fe 2.416 0.000 0.000
Ga 0.000 0.000 0.000
```

M_tot	1.772	μB per atom
DFT formation energy	117.5	kJ per mole of atoms
E above lowest polymorph	0.00	eV/f.u.

---

Among the records above, which one has the highest E above lowest polymorph? Pm6NdSm2

---

Which of these has the highest DFT formation energy? CsGaFe3